# 1
Compound: Pr4Tl3Ni
Source: Alexandria
Functional: PBE
Structure: relaxed

Summary:
SG = P4/mmm (123)
Energy of formation = -2.6 eV per formula unit
Calculated density = 9.06 g/cm³

Cell lengths 3.669, 3.669, 16.820 Å; angles 90.00, 90.00, 90.00 degrees
Fractional positions:
Pr  0.000  0.000  0.099
Pr  0.000  0.000  0.366
Pr  0.000  0.000  0.634
Pr  0.000  0.000  0.901
Tl  0.500  0.500  0.235
Tl  0.500  0.500  0.500
Tl  0.500  0.500  0.765
Ni  0.500  0.500  0.000


# 2
Compound: Pr3TlNi
Source: Alexandria
Functional: PBE
Structure: relaxed

Summary:
Energy above the lowest structure with this stoichiometry = 0.008 eV/atom
SG = P2_1/m (11)
Energy of formation = -1.1 eV per formula unit
Calculated density = 7.46 g/cm³

Cell lengths 3.971, 10.714, 7.433 Å; angles 90.00, 105.07, 90.00 degrees
Fractional positions:
Pr  0.066  0.250  0.112
Pr  0.363  0.044  0.727
Pr  0.363  0.456  0.727
Pr  0.637  0.544  0.273
Pr  0.637  0.956  0.273
Pr  0.934  0.750  0.888
Tl  0.248  0.750  0.505
Tl  0.752  0.250  0.495
Ni  0.000  0.000  0.000
Ni  0.000  0.500  0.000


Question: Which of these has the highest calculated density?
Answer: Pr4Tl3Ni